DFT (PBE-GGA) results for crystalline TbPm5Dy2Y at its relaxed geometry.

CIF file:
```
data_TbPm5Dy2Y
_chemical_formula_sum 'Tb4 Pm20 Dy8 Y4'
_cell_length_a 5.6616
_cell_length_b 20.2289
_cell_length_c 10.7115
_cell_angle_alpha 90.00
_cell_angle_beta 90.00
_cell_angle_gamma 90.00
_symmetry_space_group_name_H-M 'C m c 21'
_symmetry_Int_Tables_number 36
_symmetry_space_group_name_Hall 'C 2c -2'
loop_
_atom_site_label
_atom_site_type_symbol
_atom_site_fract_x
_atom_site_fract_y
_atom_site_fract_z
Tb1 Tb 0.0000 0.0893 0.0000
Pm1 Pm 0.0000 0.0192 0.2830
Pm2 Pm 0.0000 0.1119 0.5634
Pm3 Pm 0.0000 0.2019 0.2482
Pm4 Pm 0.0000 0.2187 0.8518
Pm5 Pm 0.0000 0.4826 0.5610
Dy1 Dy 0.0000 0.3844 0.8568
Dy2 Dy 0.0000 0.3883 0.2777
Y1 Y 0.0000 0.3000 0.5515
```

Its density of states at the Fermi level is 1.587 states/eV/atom. The formation energy is 125 kJ/mol of formula units.

***

DFT (PBE-GGA) results for crystalline Pm3Dy6Sc at its relaxed geometry.

CIF file:
```
data_Pm3Dy6Sc
_chemical_formula_sum 'Pm9 Dy18 Sc3'
_cell_length_a 9.8267
_cell_length_b 9.8267
_cell_length_c 11.5340
_cell_angle_alpha 90.00
_cell_angle_beta 90.00
_cell_angle_gamma 120.00
_symmetry_space_group_name_H-M 'R 3'
_symmetry_Int_Tables_number 146
_symmetry_space_group_name_Hall 'R 3'
loop_
_atom_site_label
_atom_site_type_symbol
_atom_site_fract_x
_atom_site_fract_y
_atom_site_fract_z
Pm1 Pm 0.0000 0.0000 0.0000
Pm2 Pm 0.0000 0.0000 0.2536
Pm3 Pm 0.0000 0.0000 0.5079
Dy1 Dy 0.0031 0.3407 0.3382
Dy2 Dy 0.0076 0.6711 0.5037
Sc1 Sc 0.0000 0.0000 0.7538
```

Its density of states at the Fermi level is 2.039 states/eV/atom. The formation energy is 237 kJ/mol of formula units.

***

DFT (PBE-GGA) results for crystalline V3AgGe at its relaxed geometry.

CIF file:
```
data_V3AgGe
_chemical_formula_sum 'V3 Ag1 Ge1'
_cell_length_a 4.8395
_cell_length_b 4.8395
_cell_length_c 4.8395
_cell_angle_alpha 90.00
_cell_angle_beta 90.00
_cell_angle_gamma 90.00
_symmetry_space_group_name_H-M 'P m -3 m'
_symmetry_Int_Tables_number 221
_symmetry_space_group_name_Hall '-P 4 2 3'
loop_
_atom_site_label
_atom_site_type_symbol
_atom_site_fract_x
_atom_site_fract_y
_atom_site_fract_z
V1 V 0.0000 0.0000 0.5000
Ag1 Ag 0.0000 0.0000 0.0000
Ge1 Ge 0.5000 0.5000 0.5000
```

Its density of states at the Fermi level is 2.650 states/eV/atom. The formation energy is 794 kJ/mol of formula units.

***

DFT (PBE-GGA) results for crystalline Zn2Cd5In at its relaxed geometry.

CIF file:
```
data_Zn2Cd5In
_chemical_formula_sum 'Zn4 Cd10 In2'
_cell_length_a 3.7483
_cell_length_b 9.0343
_cell_length_c 10.5055
_cell_angle_alpha 90.00
_cell_angle_beta 90.00
_cell_angle_gamma 90.00
_symmetry_space_group_name_H-M 'I m m m'
_symmetry_Int_Tables_number 71
_symmetry_space_group_name_Hall '-I 2 2'
loop_
_atom_site_label
_atom_site_type_symbol
_atom_site_fract_x
_atom_site_fract_y
_atom_site_fract_z
Zn1 Zn 0.0000 0.0000 0.2261
Cd1 Cd 0.0000 0.0000 0.5000
Cd2 Cd 0.0000 0.2913 0.1421
In1 In 0.0000 0.5000 0.5000
```

Its density of states at the Fermi level is 0.289 states/eV/atom. The formation energy is 49 kJ/mol of formula units.

***

DFT (PBE-GGA) results for crystalline Cs2Hg3Au at its relaxed geometry.

CIF file:
```
data_Cs2Hg3Au
_chemical_formula_sum 'Cs2 Hg3 Au1'
_cell_length_a 4.9545
_cell_length_b 5.2380
_cell_length_c 9.3834
_cell_angle_alpha 90.00
_cell_angle_beta 90.00
_cell_angle_gamma 90.00
_symmetry_space_group_name_H-M 'P m m 2'
_symmetry_Int_Tables_number 25
_symmetry_space_group_name_Hall 'P 2 -2'
loop_
_atom_site_label
_atom_site_type_symbol
_atom_site_fract_x
_atom_site_fract_y
_atom_site_fract_z
Cs1 Cs 0.0000 0.0000 0.0000
Cs2 Cs 0.0000 0.5000 0.4665
Hg1 Hg 0.5000 0.0000 0.6296
Hg2 Hg 0.5000 0.5000 0.1577
Hg3 Hg 0.5000 0.5000 0.8177
Au1 Au 0.5000 0.0000 0.3130
```

Its density of states at the Fermi level is 0.389 states/eV/atom. The formation energy is -158 kJ/mol of formula units.

***

DFT (PBE-GGA) results for crystalline TaHgMo3 at its relaxed geometry.

CIF file:
```
data_TaHgMo3
_chemical_formula_sum 'Ta1 Hg1 Mo3'
_cell_length_a 4.8480
_cell_length_b 4.8480
_cell_length_c 4.8480
_cell_angle_alpha 90.00
_cell_angle_beta 90.00
_cell_angle_gamma 90.00
_symmetry_space_group_name_H-M 'P m -3 m'
_symmetry_Int_Tables_number 221
_symmetry_space_group_name_Hall '-P 4 2 3'
loop_
_atom_site_label
_atom_site_type_symbol
_atom_site_fract_x
_atom_site_fract_y
_atom_site_fract_z
Ta1 Ta 0.0000 0.0000 0.0000
Hg1 Hg 0.5000 0.5000 0.5000
Mo1 Mo 0.0000 0.5000 0.5000
```

Its density of states at the Fermi level is 1.990 states/eV/atom. The formation energy is 1288 kJ/mol of formula units.